1.
This record from Alexandria via LeMat-Bulk describes a geometry-optimized K4Tb3GeO8 structure. The functional is PBE-GGA.

V (Å³ per cell): 257.6
Energy (eV for the cell shown): -99.95
Total magnetization (μB per cell): 0.00

Unit cell a=6.897 b=7.413 c=6.897 alpha=117.73 beta=120.00 gamma=90.00
Fractional positions:
K 0.500 0.000 0.000
K 0.500 0.000 0.500
K 0.000 0.000 0.000
K 0.000 0.000 0.500
Tb 0.500 0.500 0.000
Tb 0.500 0.500 0.500
Tb 0.000 0.500 0.500
Ge 0.000 0.500 0.000
O 0.223 0.684 0.962
O 0.223 0.685 0.446
O 0.271 0.313 0.542
O 0.739 0.684 0.962
O 0.261 0.316 0.038
O 0.729 0.687 0.458
O 0.777 0.315 0.554
O 0.777 0.316 0.038

---

2.
This record from Alexandria via LeMat-Bulk describes a geometry-optimized YBeIrPb2 structure. The functional is PBE-GGA.

V (Å³ per cell): 114.3
Energy (eV for the cell shown): -23.83
Energy relative to the elements (eV per atom): 0.53
Total magnetization (μB per cell): 0.00

Unit cell a=4.723 b=5.122 c=4.723 alpha=90.00 beta=90.00 gamma=90.00
Fractional positions:
Pb 0.000 0.000 0.500
Pb 0.500 0.000 0.000
Y 0.000 0.500 0.000
Ir 0.500 0.500 0.500
Be 0.000 0.000 0.000

---

3.
This record from Alexandria via LeMat-Bulk describes a geometry-optimized BaCaTe structure. The functional is PBE-GGA.

V (Å³ per cell): 122.9
Energy relative to the lowest polymorph listed for this composition (eV per atom): 0.200
Energy (eV for the cell shown): -9.44
Total magnetization (μB per cell): 0.00

Unit cell a=5.580 b=5.580 c=5.580 alpha=60.00 beta=60.00 gamma=60.00
Fractional positions:
Ca 0.500 0.500 0.500
Te 0.750 0.750 0.750
Ba 0.000 0.000 0.000

---

4.
This record from Alexandria via LeMat-Bulk describes a geometry-optimized TcCl3F structure. The functional is PBE-GGA.

V (Å³ per cell): 578.0
Energy relative to the lowest polymorph listed for this composition (eV per atom): 0.000
Energy (eV for the cell shown): -86.65
Total magnetization (μB per cell): 0.00

Unit cell a=7.116 b=7.137 c=13.380 alpha=58.28 beta=90.00 gamma=90.00
Fractional positions:
Tc 0.739 0.038 0.826
Tc 0.261 0.038 0.326
Tc 0.739 0.962 0.674
Tc 0.261 0.962 0.174
Cl 0.738 0.301 0.522
Cl 0.262 0.301 0.022
Cl 0.556 0.850 0.198
Cl 0.215 0.751 0.085
Cl 0.444 0.850 0.698
Cl 0.262 0.699 0.478
Cl 0.215 0.249 0.415
Cl 0.556 0.150 0.302
Cl 0.785 0.249 0.915
Cl 0.444 0.150 0.802
Cl 0.738 0.699 0.978
Cl 0.785 0.751 0.585
F 0.974 0.831 0.739
F 0.974 0.169 0.761
F 0.026 0.831 0.239
F 0.026 0.169 0.261

---

5.
This record from Alexandria via LeMat-Bulk describes a geometry-optimized CeNd2Rh structure. The functional is PBE-GGA.

V (Å³ per cell): 128.2
Energy relative to the lowest polymorph listed for this composition (eV per atom): 0.367
Energy (eV for the cell shown): -22.94
Energy relative to the elements (eV per atom): -0.03
Total magnetization (μB per cell): 1.96

Unit cell a=3.732 b=3.732 c=10.847 alpha=80.09 beta=80.09 gamma=60.00
Each line ends with the local moment (μB).
Fractional positions:
Rh 0.500 0.500 0.500  0.01
Nd 0.110 0.110 0.671  0.04
Nd 0.890 0.890 0.329  0.04
Ce 0.000 0.000 0.000  1.25

---

6.
This record from Alexandria via LeMat-Bulk describes a geometry-optimized MgNbPd2S structure. The functional is PBE-GGA.

V (Å³ per cell): 95.3
Energy (eV for the cell shown): -24.62
Total magnetization (μB per cell): 2.97

Unit cell a=4.560 b=4.585 c=4.560 alpha=90.00 beta=90.00 gamma=90.00
Each line ends with the local moment (μB).
Fractional positions:
Mg 0.000 0.500 0.000  0.01
Nb 0.500 0.500 0.500  2.07
S 0.000 0.000 0.000  0.05
Pd 0.000 0.000 0.500  0.09
Pd 0.500 0.000 0.000  0.04

---

7.
This record from Alexandria via LeMat-Bulk describes a geometry-optimized LaAlCl2 structure. The functional is PBE-GGA.

V (Å³ per cell): 101.4
Energy relative to the lowest polymorph listed for this composition (eV per atom): 0.000
Energy (eV for the cell shown): -17.02
Total magnetization (μB per cell): 0.00

Unit cell a=5.243 b=5.243 c=5.639 alpha=84.22 beta=84.22 gamma=41.15
Fractional positions:
Cl 0.038 0.038 0.977
Cl 0.462 0.462 0.523
Al 0.250 0.250 0.250
La 0.750 0.750 0.750

---

8.
This record from Alexandria via LeMat-Bulk describes a geometry-optimized CaNdPdPt structure. The functional is PBE-GGA.

V (Å³ per cell): 90.2
Energy relative to the lowest polymorph listed for this composition (eV per atom): 0.020
Energy (eV for the cell shown): -21.51
Energy relative to the elements (eV per atom): -0.88
Total magnetization (μB per cell): 0.00

Unit cell a=5.033 b=5.033 c=5.033 alpha=60.00 beta=60.00 gamma=60.00
Fractional positions:
Ca 0.500 0.500 0.500
Nd 0.000 0.000 0.000
Pd 0.250 0.250 0.250
Pt 0.750 0.750 0.750

---

9.
This record from Alexandria via LeMat-Bulk describes a geometry-optimized Si2HgI structure. The functional is PBE-GGA.

V (Å³ per cell): 527.3
Energy relative to the lowest polymorph listed for this composition (eV per atom): 0.000
Energy (eV for the cell shown): -50.65
Total magnetization (μB per cell): 0.00

Unit cell a=5.166 b=11.225 c=9.355 alpha=90.00 beta=103.60 gamma=90.00
Fractional positions:
Si 0.000 0.342 0.000
Si 0.000 0.658 0.000
Si 0.000 0.842 0.500
Si 0.000 0.158 0.500
Si 0.314 0.000 0.550
Si 0.686 0.000 0.450
Si 0.314 0.500 0.050
Si 0.686 0.500 0.950
Hg 0.000 0.250 0.250
Hg 0.000 0.250 0.750
Hg 0.000 0.750 0.750
Hg 0.000 0.750 0.250
I 0.434 0.000 0.181
I 0.566 0.000 0.819
I 0.434 0.500 0.681
I 0.566 0.500 0.319

---

10.
This record from Alexandria via LeMat-Bulk describes a geometry-optimized Zn2CuPt2 structure. The functional is PBE-GGA.

V (Å³ per cell): 79.6
Energy relative to the lowest polymorph listed for this composition (eV per atom): 0.258
Energy (eV for the cell shown): -19.05
Energy relative to the elements (eV per atom): -0.07
Total magnetization (μB per cell): 0.00

Unit cell a=3.527 b=3.527 c=6.866 alpha=75.12 beta=75.12 gamma=90.00
Fractional positions:
Zn 0.750 0.250 0.500
Zn 0.250 0.750 0.500
Cu 0.000 0.000 0.000
Pt 0.397 0.397 0.206
Pt 0.603 0.603 0.794

---

11.
This record from Alexandria via LeMat-Bulk describes a geometry-optimized CrRePd2 structure. The functional is PBE-GGA.

V (Å³ per cell): 122.3
Energy relative to the lowest polymorph listed for this composition (eV per atom): 0.124
Energy (eV for the cell shown): -60.26
Energy relative to the elements (eV per atom): 0.58
Total magnetization (μB per cell): 0.00

Unit cell a=3.650 b=3.650 c=9.539 alpha=78.97 beta=78.97 gamma=90.00
Fractional positions:
Re 0.000 0.000 0.000
Re 0.750 0.250 0.500
Pd 0.622 0.125 0.250
Pd 0.128 0.625 0.250
Pd 0.375 0.378 0.750
Pd 0.875 0.872 0.750
Cr 0.500 0.500 0.000
Cr 0.250 0.750 0.500

---

12.
This record from Alexandria via LeMat-Bulk describes a geometry-optimized Sr2Br structure. The functional is PBE-GGA.

V (Å³ per cell): 254.5
Energy relative to the lowest polymorph listed for this composition (eV per atom): 0.074
Energy (eV for the cell shown): -15.40
Total magnetization (μB per cell): 1.86

Unit cell a=4.245 b=7.413 c=8.087 alpha=90.00 beta=90.00 gamma=90.00
Each line ends with the local moment (μB).
Fractional positions:
Sr 0.000 0.214 0.661  0.08
Sr 0.000 0.786 0.339  0.08
Sr 0.500 0.714 0.839  0.08
Sr 0.500 0.286 0.161  0.08
Br 0.000 0.000 0.000  0.03
Br 0.500 0.500 0.500  0.03

---

13.
This record from Alexandria via LeMat-Bulk describes a geometry-optimized TiSbRu2 structure. The functional is PBE-GGA.

V (Å³ per cell): 63.2
Energy (eV for the cell shown): -32.11
Total magnetization (μB per cell): 0.00

Unit cell a=3.413 b=4.302 c=4.302 alpha=90.00 beta=90.00 gamma=90.00
Fractional positions:
Sb 0.500 0.500 0.500
Ti 0.500 0.000 0.000
Ru 0.000 0.000 0.500
Ru 0.000 0.500 0.000